## MnFe3As (meta-GGA SCAN)

Data for a crystal of MnFe3As relaxed with PBEsol.

E = -86.88 eV per cell
V = 72 Å³ per cell
theoretical density = 6.89 g cm⁻³
formation energy from the elements = 1.19 eV/atom

```
data_MnFe3As
_cell_length_a 4.154
_cell_length_b 4.154
_cell_length_c 4.154
_cell_angle_alpha 90.00
_cell_angle_beta 90.00
_cell_angle_gamma 90.00
_space_group_name_H-M_alt 'P m -3 m'
_space_group_IT_number 221
_space_group_name_Hall '-P 4 2 3'
loop_
_atom_site_label
_atom_site_type_symbol
_atom_site_fract_x
_atom_site_fract_y
_atom_site_fract_z
Mn1 Mn 0.000 0.000 0.000
Fe1 Fe 0.000 0.000 0.500
As1 As 0.500 0.500 0.500
```



## LiLa2W (meta-GGA SCAN)

Data for a crystal of LiLa2W relaxed with PBEsol.

E = -311.66 eV per cell
V = 193 Å³ per cell
polymorph energy (0 for the lowest one) = 0.000 eV/atom
theoretical density = 8.07 g cm⁻³
formation energy from the elements = 0.61 eV/atom

```
data_LiLa2W
_cell_length_a 7.732
_cell_length_b 7.802
_cell_length_c 3.198
_cell_angle_alpha 90.00
_cell_angle_beta 90.00
_cell_angle_gamma 90.00
_space_group_name_H-M_alt 'C m m m'
_space_group_IT_number 65
_space_group_name_Hall '-C 2 2'
loop_
_atom_site_label
_atom_site_type_symbol
_atom_site_fract_x
_atom_site_fract_y
_atom_site_fract_z
Li1 Li 0.000 0.000 0.000
La1 La 0.250 0.250 0.500
W1 W 0.000 0.500 0.000
```



## ZrZn2SbC (meta-GGA SCAN)

Data for a crystal of ZrZn2SbC relaxed with PBEsol.

E = -99.03 eV per cell
V = 110 Å³ per cell
theoretical density = 5.36 g cm⁻³
uncorrected formation energy = 6.06 eV/f.u.

```
data_ZrZn2SbC
_cell_length_a 5.190
_cell_length_b 5.190
_cell_length_c 4.093
_cell_angle_alpha 90.00
_cell_angle_beta 90.00
_cell_angle_gamma 90.00
_space_group_name_H-M_alt 'P 4/m m m'
_space_group_IT_number 123
_space_group_name_Hall '-P 4 2'
loop_
_atom_site_label
_atom_site_type_symbol
_atom_site_fract_x
_atom_site_fract_y
_atom_site_fract_z
Zr1 Zr 0.000 0.000 0.000
Zn1 Zn 0.000 0.500 0.000
Sb1 Sb 0.500 0.500 0.500
C1 C 0.000 0.000 0.500
```



## Al5Os (meta-GGA SCAN)

Data for a crystal of Al5Os relaxed with PBEsol.

E = -440.19 eV per cell
V = 354 Å³ per cell
theoretical density = 6.09 g cm⁻³
formation energy from the elements = 0.10 eV/atom

```
data_Al5Os
_cell_length_a 7.077
_cell_length_b 7.077
_cell_length_c 7.077
_cell_angle_alpha 90.00
_cell_angle_beta 90.00
_cell_angle_gamma 90.00
_space_group_name_H-M_alt 'F -4 3 m'
_space_group_IT_number 216
_space_group_name_Hall 'F -4 2 3'
loop_
_atom_site_label
_atom_site_type_symbol
_atom_site_fract_x
_atom_site_fract_y
_atom_site_fract_z
Al1 Al 0.000 0.000 0.000
Al2 Al 0.124 0.124 0.624
Os1 Os 0.250 0.250 0.250
```